# 1
Zr3TiCo2 (PBE, optimized geometry); ΔE_f = -0.02 eV per atom; VASP energy = -7.9798 eV per atom; total magnetization = 0.0 μB per formula unit; offset from the most stable computed form = 11.39 kJ/mol of atoms
1.0
-5.9216 -1.5417 -0.3757
1.5464 -5.0859 -3.5037
2.7233 0.0407 6.9274
Zr Co Ti
6 4 2
Cartesian
1.4073 -5.3264 -0.3238 Zr
-1.8010 -4.5853 -2.8156 Zr
-2.5742 -2.0423 -1.0637 Zr
-3.0592 -1.2605 3.3718 Zr
0.6341 -2.7834 1.4281 Zr
-2.2860 -3.8035 1.6200 Zr
-4.1032 -1.9898 1.0774 Co
-0.7559 -3.8626 -0.5112 Co
-0.8960 -2.7243 3.5592 Co
2.4513 -4.5971 1.9707 Co
0.0000 0.0000 0.0000 Ti
0.7732 -2.5430 -1.7518 Ti

# 2
ZrTi3Co (PBE, optimized geometry); ΔE_f = 1.54 eV per atom; VASP energy = -6.3230 eV per atom; total magnetization = 0.0 μB per formula unit; offset from the most stable computed form = 144.14 kJ/mol of atoms
1.0
4.6889 0.0000 0.0000
0.0000 4.6889 0.0000
0.0000 0.0000 4.6889
Co Zr Ti
1 1 3
Cartesian
2.3445 2.3445 2.3445 Co
0.0000 0.0000 0.0000 Zr
0.0000 2.3445 0.0000 Ti
2.3445 0.0000 0.0000 Ti
0.0000 0.0000 2.3445 Ti

# 3
Zr2TiCo2 (PBE, optimized geometry); ΔE_f = -0.22 eV per atom; VASP energy = -8.0600 eV per atom; total magnetization = 0.0 μB per formula unit; offset from the most stable computed form = 10.63 kJ/mol of atoms
1.0
6.9730 0.0000 0.0000
0.0000 6.9730 0.0000
0.0000 0.0000 3.4124
Co Ti Zr
4 2 4
Cartesian
0.8927 2.5938 0.0000 Co
2.5938 6.0803 0.0000 Co
6.0803 4.3792 0.0000 Co
4.3792 0.8927 0.0000 Co
3.4865 3.4865 0.0000 Ti
0.0000 0.0000 0.0000 Ti
1.2049 4.6914 1.7062 Zr
5.7681 2.2816 1.7062 Zr
4.6914 5.7681 1.7062 Zr
2.2816 1.2049 1.7062 Zr

# 4
Zr2TiCo2 (PBE, optimized geometry); ΔE_f = -0.30 eV per atom; VASP energy = -8.1452 eV per atom; total magnetization = 0.0 μB per formula unit; offset from the most stable computed form = 2.40 kJ/mol of atoms
1.0
-3.4298 2.2967 3.3124
-1.7766 -3.3030 -3.7775
1.8178 -4.5016 5.0035
Co Ti Zr
4 2 4
Cartesian
-2.8948 -4.6033 5.5385 Co
-2.8983 -2.9587 2.1624 Co
-0.4939 -0.9047 -1.0001 Co
-0.4903 -2.5493 2.3759 Co
0.9007 -3.0664 4.1994 Ti
-2.5127 0.8615 4.1164 Ti
-1.3416 -5.0394 3.1760 Zr
-2.0070 -2.1376 4.7031 Zr
-2.0471 -0.4686 1.3623 Zr
-1.3817 -3.3704 -0.1647 Zr

# 5
Zr2Ti3Co2 (PBE, optimized geometry); ΔE_f = -0.21 eV per atom; VASP energy = -8.0672 eV per atom; total magnetization = 0.0 μB per formula unit
1.0
3.7485 0.0000 0.0000
-1.8742 5.1750 -0.3883
0.0000 -2.8674 6.2978
Ti Co Zr
3 2 2
Cartesian
1.8742 0.0134 2.7448 Ti
0.0000 2.2942 3.1647 Ti
1.8742 0.0000 0.0000 Ti
1.8742 1.4500 4.6456 Co
0.0000 0.8576 1.2639 Co
1.8742 3.0971 1.0165 Zr
0.0000 -0.7895 4.8930 Zr

# 6
ZrTi4Co (PBE, optimized geometry); ΔE_f = -0.11 eV per atom; VASP energy = -7.9855 eV per atom; total magnetization = 0.2 μB per formula unit; offset from the most stable computed form = 0.00 kJ/mol of atoms
1.0
-1.4013 0.3435 -3.9791
2.9312 -2.7754 -1.2730
-7.9563 -7.2204 4.4176
Ti Co Zr
8 2 2
Cartesian
-4.9337 -4.7292 2.4486 Ti
0.4002 -3.6974 -1.5914 Ti
-1.7661 -2.1380 -2.9445 Ti
-2.2576 -3.7072 -0.6571 Ti
-4.1688 -5.9451 -0.1774 Ti
-6.8266 -5.9549 0.7570 Ti
-4.6603 -7.5144 2.1101 Ti
-1.4927 -4.9231 -3.2831 Ti
-2.5126 -4.9979 1.5723 Co
-4.6788 -3.4385 0.2193 Co
0.3824 -0.6080 -1.3130 Zr
-6.8089 -9.0443 0.4786 Zr

# 7
Zr3TiCo2 (PBE, optimized geometry); ΔE_f = -0.14 eV per atom; VASP energy = -8.0979 eV per atom; total magnetization = 0.0 μB per formula unit; offset from the most stable computed form = 0.00 kJ/mol of atoms
1.0
-6.9569 1.0080 -4.2738
3.6034 -1.1123 -6.1280
-1.3969 -7.0910 0.4657
Zr Co Ti
12 8 4
Cartesian
1.7233 -4.0571 -6.4192 Zr
-1.4330 -4.9944 -6.9758 Zr
-6.8946 -5.4276 -5.8844 Zr
-0.7338 -0.5792 -4.2709 Zr
-4.4049 -3.7355 -6.8202 Zr
0.9905 -1.0701 -6.9883 Zr
-5.7410 -6.1253 -2.9478 Zr
2.1441 -1.7677 -4.0516 Zr
-6.4737 -3.1382 -3.5168 Zr
-3.3175 -2.2009 -2.9602 Zr
-0.3456 -3.4599 -3.1158 Zr
-4.0167 -6.6161 -5.6651 Zr
-2.7128 -2.3038 -5.3817 Co
-4.2746 -6.0076 -8.0506 Co
-3.0328 -1.3930 -9.9595 Co
-0.4759 -1.1877 -1.8855 Co
-4.4046 -4.3058 -4.2116 Co
-2.0377 -4.8915 -4.5544 Co
-0.3459 -2.8895 -5.7245 Co
-1.7177 -5.8023 0.0235 Co
-2.7878 -5.1420 -2.3243 Ti
-5.1465 -1.2225 -5.4103 Ti
-1.9627 -2.0533 -7.6118 Ti
0.3960 -5.9728 -4.5257 Ti

# 8
ZrTi4Co (PBE, optimized geometry); ΔE_f = -0.09 eV per atom; VASP energy = -7.9575 eV per atom; total magnetization = 0.0 μB per formula unit; offset from the most stable computed form = 2.71 kJ/mol of atoms
1.0
0.5207 -3.7301 2.4594
-0.4046 -4.5499 -2.7015
4.5879 -2.8151 -1.1273
Ti Co Zr
4 1 1
Cartesian
0.9274 -5.0217 0.4144 Ti
3.7766 -6.0735 -1.7839 Ti
1.1856 -6.6928 -2.1746 Ti
3.5183 -4.4024 0.8052 Ti
0.0000 0.0000 0.0000 Co
2.0916 -3.6825 -1.9144 Zr

# 9
Zr2TiCo3 (PBE, optimized geometry); ΔE_f = -0.02 eV per atom; VASP energy = -7.7405 eV per atom; total magnetization = 0.0 μB per formula unit; offset from the most stable computed form = 26.11 kJ/mol of atoms
1.0
-3.9283 0.6110 0.6587
-0.9597 -1.0284 -4.7692
1.9058 -4.4514 3.1683
Co Zr Ti
3 2 1
Cartesian
0.0000 0.0000 0.0000 Co
-0.3919 -3.3932 0.8105 Co
-2.5903 -1.4755 -1.7526 Co
-2.1540 -1.3383 0.7220 Zr
-0.8282 -3.5304 -1.6641 Zr
-0.4799 -0.5142 -2.3846 Ti

# 10
ZrTi5Co (PBE, optimized geometry); ΔE_f = 0.29 eV per atom; VASP energy = -7.5829 eV per atom; total magnetization = 0.0 μB per formula unit
1.0
-2.4277 -3.5033 -0.8382
1.1289 -1.6998 3.8348
-5.2926 2.9791 2.8785
Zr Ti Co
1 5 1
Cartesian
0.0000 0.0000 0.0000 Zr
-5.0513 0.4083 1.6680 Ti
-2.6463 1.4896 1.4393 Ti
-1.5403 -2.6322 4.2071 Ti
-3.3185 -3.5340 1.8707 Ti
-3.2730 1.3100 4.0044 Ti
-3.2958 -1.1120 2.9376 Co

# 11
Zr2TiCo2 (PBE, optimized geometry); ΔE_f = -0.33 eV per atom; VASP energy = -8.1701 eV per atom; total magnetization = 0.0 μB per formula unit; offset from the most stable computed form = 0.00 kJ/mol of atoms
1.0
3.4851 0.0057 1.4850
1.1325 4.6470 2.1740
-0.1623 0.4946 5.2286
Zr Co Ti
2 2 1
Cartesian
1.1568 1.2842 4.5488 Zr
3.2985 3.8632 4.3387 Zr
4.2353 3.9347 6.9837 Co
0.2200 1.2126 1.9039 Co
2.3088 2.3264 1.8295 Ti

# 12
TlCo5 (PBE, optimized geometry); ΔE_f = 0.34 eV per atom; VASP energy = -5.9751 eV per atom; total magnetization = 8.0 μB per formula unit
1.0
1.3584 -7.1316 0.0000
1.3584 7.1316 0.0000
0.0000 0.0000 4.0771
Co Tl
5 1
Cartesian
1.3584 0.9836 2.0385 Co
1.3584 -6.8136 0.0000 Co
1.3584 -4.1420 2.0385 Co
1.3584 2.3593 0.0000 Co
1.3584 -2.7584 0.0000 Co
1.3584 5.6167 2.0385 Tl

# 13
TlCo3 (PBE, optimized geometry); ΔE_f = 0.54 eV per atom; VASP energy = -5.3796 eV per atom; total magnetization = 4.6 μB per formula unit
1.0
4.8165 0.0000 0.0000
0.0000 4.8165 0.0000
0.0000 0.0000 4.8165
Co Tl
6 2
Cartesian
2.4083 0.0000 1.2041 Co
2.4083 0.0000 3.6124 Co
0.0000 3.6124 2.4083 Co
1.2041 2.4083 0.0000 Co
0.0000 1.2041 2.4083 Co
3.6124 2.4083 0.0000 Co
0.0000 0.0000 0.0000 Tl
2.4083 2.4083 2.4083 Tl

# 14
TlCo (PBE, optimized geometry); ΔE_f = 0.51 eV per atom; VASP energy = -4.2267 eV per atom; total magnetization = 1.6 μB per formula unit
1.0
3.5004 0.0000 0.0000
-1.7502 3.0315 0.0000
0.0000 0.0000 7.8793
Co Tl
2 2
Cartesian
0.0000 0.0000 0.5026 Co
1.7502 1.0105 1.4672 Co
1.7502 1.0105 6.3435 Tl
0.0000 0.0000 3.5056 Tl

# 15
TlCo3 (PBE, optimized geometry); ΔE_f = 0.64 eV per atom; VASP energy = -5.2818 eV per atom; total magnetization = 5.0 μB per formula unit
1.0
-5.9202 -5.7355 -0.8167
-3.8091 -6.9623 -2.3725
-3.8747 -7.3038 0.5018
Co Tl
3 1
Cartesian
-6.8020 -10.0008 -1.3437 Co
-10.3580 -15.2290 -2.0462 Co
-3.2460 -4.7725 -0.6412 Co
0.0000 0.0000 0.0000 Tl

# 16
TlCo2 (PBE, optimized geometry); ΔE_f = 0.57 eV per atom; VASP energy = -4.9523 eV per atom; total magnetization = 2.9 μB per formula unit
1.0
-2.7069 -3.1162 0.2751
4.0379 -0.7133 0.5478
-0.3135 0.5383 3.0122
Co Tl
2 1
Cartesian
1.6331 -1.2455 1.9606 Co
-0.6157 -2.0456 1.8746 Co
0.0000 0.0000 0.0000 Tl

# 17
TlCo (PBE, optimized geometry); ΔE_f = 1.25 eV per atom; VASP energy = -3.4836 eV per atom; total magnetization = 1.3 μB per formula unit
1.0
-2.9342 -1.7051 2.4963
-2.0288 -3.4876 -1.2120
0.7565 -3.6601 1.9440
Co Tl
1 1
Cartesian
0.0000 0.0000 0.0000 Co
-3.1548 -6.6396 2.4212 Tl

# 18
TlCo (PBE, optimized geometry); ΔE_f = 0.55 eV per atom; VASP energy = -4.1847 eV per atom; total magnetization = 1.6 μB per formula unit
1.0
-0.5636 4.1568 -4.3410
-4.7594 3.7930 -0.9074
4.5025 -2.2113 3.5636
Tl Co
2 2
Cartesian
-2.4594 4.2471 -2.7667 Tl
-1.0049 2.8303 0.0290 Tl
-4.2407 3.5565 -0.7164 Co
0.7765 3.5209 -2.0214 Co

# 19
Tl3Co5 (PBE, optimized geometry); ΔE_f = 0.50 eV per atom; VASP energy = -4.8319 eV per atom; total magnetization = 7.7 μB per formula unit; offset from the most stable computed form = 0.00 kJ/mol of atoms
1.0
7.1737 0.8792 0.0038
-4.9426 5.2726 0.0046
-1.1011 -3.0375 6.2315
Co Tl
10 6
Cartesian
-2.6491 2.1529 2.7951 Co
3.6821 0.7090 3.1447 Co
2.5701 2.9794 1.7415 Co
-1.0157 3.2746 4.2740 Co
1.7583 -1.2120 4.2695 Co
-0.8759 3.3874 1.9207 Co
-4.1624 1.8939 4.5177 Co
-1.6536 0.9844 4.5178 Co
-3.2198 4.2369 1.9207 Co
-1.1826 0.8600 1.7373 Co
3.5497 0.3435 5.9234 Tl
-0.3627 -1.0021 6.2205 Tl
0.9806 1.3037 3.2320 Tl
0.7474 2.0757 6.2246 Tl
6.1367 -0.5660 3.2316 Tl
3.5878 0.4502 0.4790 Tl

# 20
TlCo (PBE, optimized geometry); ΔE_f = 0.81 eV per atom; VASP energy = -3.9242 eV per atom; total magnetization = 0.8 μB per formula unit
1.0
-2.8102 -2.2519 1.0506
0.7025 -3.0085 2.1279
-1.1125 -0.0651 3.5819
Co Tl
1 1
Cartesian
0.0000 0.0000 0.0000 Co
-1.6101 -2.6628 3.3802 Tl